CaCdIO2 | PBE-GGA | relaxed

Unit cell a=4.385 b=4.385 c=6.397 alpha=90.00 beta=90.00 gamma=90.00
Fractional positions:
Ca1 0.000 0.000 0.000
Cd1 0.500 0.500 0.500
I1 0.000 0.000 0.500
O1 0.000 0.500 0.000
O2 0.500 0.000 0.000

## Properties
ΔE_f (raw)   -592.4 meV per atom
Space-group type   No. 123
Energy relative to the lowest polymorph listed for this composition   51.6 meV/atom

***

Mg2CoW | PBE-GGA | relaxed

Unit cell a=2.734 b=4.520 c=5.146 alpha=90.00 beta=103.62 gamma=90.00
Fractional positions:
Mg1 0.182 0.000 0.260
Mg2 0.818 0.000 0.740
Co1 0.000 0.500 0.500
W1 0.500 0.500 0.000

## Properties
Space-group type   No. 10
ΔH_f (0 K)   0.4326 eV per atom
Energy relative to the lowest polymorph listed for this composition   280.0 meV/atom

***

Y2NpTl3Se6 | PBE-GGA | relaxed

Unit cell a=7.295 b=7.295 c=8.123 alpha=98.61 beta=98.61 gamma=119.99
Fractional positions:
Y1 0.167 0.833 0.000
Y2 0.833 0.167 0.000
Np1 0.500 0.500 0.000
Tl1 0.000 0.000 0.500
Tl2 0.334 0.666 0.500
Tl3 0.666 0.334 0.500
Se1 0.095 0.432 0.795
Se2 0.232 0.232 0.205
Se3 0.432 0.095 0.795
Se4 0.568 0.905 0.205
Se5 0.768 0.768 0.795
Se6 0.905 0.568 0.205

## Properties
ΔE_f (raw)   -1220.3 meV per atom
Space-group type   No. 12

***

Pu2Ge3Os | PBE-GGA | relaxed

Unit cell a=5.604 b=5.604 c=6.816 alpha=125.46 beta=125.46 gamma=46.00
Fractional positions:
Pu1 0.000 0.000 0.000
Pu2 0.115 0.115 0.606
Ge1 0.379 0.379 0.198
Ge2 0.427 0.427 0.641
Ge3 0.734 0.734 0.408
Os1 0.730 0.730 0.018

## Properties
Space-group type   No. 8
ΔH_f (0 K)   -0.3028 eV per atom
Energy relative to the lowest polymorph listed for this composition   0.0 meV/atom

***

ZrCrB | PBE-GGA | relaxed

Unit cell a=5.906 b=5.906 c=4.746 alpha=110.53 beta=110.53 gamma=30.74
Fractional positions:
Zr1 0.133 0.133 0.284
Zr2 0.867 0.867 0.716
Cr1 0.418 0.418 0.270
Cr2 0.582 0.582 0.730
B1 0.231 0.231 0.885
B2 0.769 0.769 0.115

## Properties
Space-group type   No. 12
ΔH_f (0 K)   -0.2746 eV per atom
Energy relative to the lowest polymorph listed for this composition   167.5 meV/atom

***

FeSiSe2 | PBE-GGA | relaxed

Unit cell a=3.540 b=3.575 c=6.665 alpha=90.00 beta=90.00 gamma=90.00
Fractional positions:
Fe1 0.000 0.000 0.000
Si1 0.500 0.000 0.500
Se1 0.000 0.500 0.500
Se2 0.500 0.500 0.000

## Properties
ΔE_f (raw)   400.5 meV per atom
Space-group type   No. 47

***

MgAl2Ru | PBE-GGA | relaxed

Unit cell a=3.264 b=3.264 c=5.962 alpha=90.00 beta=90.00 gamma=90.00
Fractional positions:
Mg1 0.000 0.000 0.000
Al1 0.000 0.000 0.454
Al2 0.500 0.500 0.709
Ru1 0.500 0.500 0.270

## Properties
Space-group type   No. 99
ΔH_f (0 K)   -0.2972 eV per atom

***

Sr5Zn4Au | PBE-GGA | relaxed

Unit cell a=3.864 b=3.864 c=19.773 alpha=90.00 beta=90.00 gamma=90.00
Fractional positions:
Sr1 0.000 0.000 0.000
Sr2 0.000 0.000 0.201
Sr3 0.000 0.000 0.403
Sr4 0.000 0.000 0.597
Sr5 0.000 0.000 0.799
Zn1 0.500 0.500 0.100
Zn2 0.500 0.500 0.300
Zn3 0.500 0.500 0.700
Zn4 0.500 0.500 0.900
Au1 0.500 0.500 0.500

## Properties
Space-group type   No. 123
ΔH_f (0 K)   -0.2918 eV per atom